The following is a DFT calculation (PBE) of an optimized crystal structure of Hf3MgV.

N(E_F)	6.716	states/eV/cell
density	8.609	g/cm³
calculated volume	117.8	Å³/f.u.
VASP energy	-0.27310	hartree per atom
distance to the lowest polymorph of the same formula	0	meV/atom
ΔE_f	0.6833	eV per atom
symmetry	Pm-3m (221)

a b c (Å): 4.9021 4.9021 4.9021
angles (deg): 90.00 90.00 90.00
Atoms (fractional coordinates):
V 0.0000 0.0000 0.0000
Mg 0.5000 0.5000 0.5000
Hf 0.0000 0.0000 0.5000
Hf 0.5000 0.0000 0.0000
Hf 0.0000 0.5000 0.0000

---

The following is a DFT calculation (PBE) of an optimized crystal structure of HfMg14V.

N(E_F)	8.907	states/eV/cell
density	2.675	g/cm³
calculated volume	353.7	Å³/f.u.
VASP energy	-0.09142	hartree per atom
distance to the lowest polymorph of the same formula	0	meV/atom
ΔE_f	0.0996	eV per atom
symmetry	Amm2 (38)

a b c (Å): 6.3556 6.3556 10.2395
angles (deg): 90.00 90.00 121.22
Atoms (fractional coordinates):
Mg 0.8310 0.6659 0.0000
Mg 0.1650 0.3338 0.2567
Mg 0.8321 0.1679 0.0000
Hf 0.3297 0.6703 0.5000
Mg 0.6727 0.3273 0.7380
Mg 0.1704 0.8296 0.2506
Mg 0.3341 0.1690 0.0000
Mg 0.3245 0.1658 0.5000
Mg 0.6662 0.8350 0.7433
V 0.8327 0.1673 0.5000
Mg 0.8342 0.6755 0.5000
Mg 0.6727 0.3273 0.2620
Mg 0.1650 0.3338 0.7433
Mg 0.1704 0.8296 0.7494
Mg 0.6662 0.8350 0.2567
Mg 0.3334 0.6666 0.0000

---

The following is a DFT calculation (PBE) of an optimized crystal structure of HfMgV.

N(E_F)	6.766	states/eV/cell
density	6.735	g/cm³
calculated volume	62.6	Å³/f.u.
VASP energy	-0.22325	hartree per atom
ΔE_f	0.8139	eV per atom
symmetry	R-3m (166)

a b c (Å): 4.7337 4.7337 7.0029
angles (deg): 70.25 70.25 60.00
Atoms (fractional coordinates):
V 0.3029 0.3029 0.0914
V 0.6971 0.6971 0.9086
Mg 0.1454 0.1454 0.5637
Hf 0.5763 0.5763 0.2711
Mg 0.8546 0.8546 0.4363
Hf 0.4237 0.4237 0.7289

---

The following is a DFT calculation (PBE) of an optimized crystal structure of HfMgV3.

N(E_F)	9.541	states/eV/cell
density	6.157	g/cm³
calculated volume	95.9	Å³/f.u.
VASP energy	-0.22930	hartree per atom
distance to the lowest polymorph of the same formula	63	meV/atom
ΔE_f	1.5413	eV per atom
symmetry	Pm-3m (221)

a b c (Å): 4.5775 4.5775 4.5775
angles (deg): 90.00 90.00 90.00
Atoms (fractional coordinates):
V 0.0000 0.5000 0.0000
Hf 0.5000 0.5000 0.5000
Mg 0.0000 0.0000 0.0000
V 0.0000 0.0000 0.5000
V 0.5000 0.0000 0.0000

---

The following is a DFT calculation (PBE) of an optimized crystal structure of Hf3MgV.

N(E_F)	7.418	states/eV/cell
density	8.218	g/cm³
calculated volume	123.4	Å³/f.u.
VASP energy	-0.24163	hartree per atom
distance to the lowest polymorph of the same formula	856	meV/atom
ΔE_f	1.5395	eV per atom
symmetry	Pm-3m (221)

a b c (Å): 4.9787 4.9787 4.9787
angles (deg): 90.00 90.00 90.00
Atoms (fractional coordinates):
Hf 0.0000 0.0000 0.5000
V 0.5000 0.5000 0.5000
Hf 0.0000 0.5000 0.0000
Hf 0.5000 0.0000 0.0000
Mg 0.0000 0.0000 0.0000

---

The following is a DFT calculation (PBE) of an optimized crystal structure of HfMgV3.

N(E_F)	6.416	states/eV/cell
density	5.610	g/cm³
calculated volume	105.3	Å³/f.u.
VASP energy	-0.23162	hartree per atom
distance to the lowest polymorph of the same formula	0	meV/atom
ΔE_f	1.4781	eV per atom
symmetry	Pm-3m (221)

a b c (Å): 4.7215 4.7215 4.7215
angles (deg): 90.00 90.00 90.00
Atoms (fractional coordinates):
Mg 0.5000 0.5000 0.5000
Hf 0.0000 0.0000 0.0000
V 0.5000 0.0000 0.0000
V 0.0000 0.5000 0.0000
V 0.0000 0.0000 0.5000